1.
Compound: Ac2TmIn12Ni3
Source: Alexandria via LeMat-Bulk
Functional: PBE
Structure: optimized geometry

Structure (POSCAR):
```
Ac2TmIn12Ni3
1.0
-4.667 -7.271 0.527
2.982 -5.815 5.677
-4.716 -0.762 7.219
Ni In Tm Ac
3 12 1 2
Direct
0.000 0.500 0.000
0.500 0.000 0.000
0.000 0.000 0.500
0.156 0.156 0.557
0.111 0.725 0.725
0.156 0.557 0.156
0.725 0.725 0.111
0.275 0.275 0.889
0.275 0.889 0.275
0.557 0.156 0.156
0.844 0.844 0.443
0.889 0.275 0.275
0.725 0.111 0.725
0.443 0.844 0.844
0.844 0.443 0.844
0.000 0.000 0.000
0.585 0.585 0.585
0.415 0.415 0.415
```

Properties
- DOS at the Fermi energy (states/eV per cell) = 12.0
- SG = No. 166
- formation energy (meV per atom) = -22

---

2.
Compound: Ac2ZnInNi6
Source: Alexandria via LeMat-Bulk
Functional: PBE
Structure: optimized geometry

Structure (POSCAR):
```
Ac2ZnInNi6
1.0
-0.646 -4.325 4.922
6.402 0.637 1.399
1.892 1.637 6.090
Zn Ni In Ac
1 6 1 2
Direct
0.500 0.500 0.000
0.260 0.740 0.000
0.740 0.260 0.000
0.260 0.260 0.000
0.740 0.740 0.521
0.740 0.740 0.000
0.260 0.260 0.479
0.000 0.000 0.000
0.750 0.250 0.500
0.250 0.750 0.500
```

Properties
- DOS at the Fermi energy (states/eV per cell) = 10.7
- SG = No. 225
- formation energy (meV per atom) = 185

---

3.
Compound: Ac2ZnInNi
Source: Alexandria via LeMat-Bulk
Functional: PBE
Structure: optimized geometry

Structure (POSCAR):
```
Ac2ZnInNi
1.0
4.700 0.000 0.000
0.000 7.619 0.256
0.000 -2.955 7.584
Ni Ac In Zn
2 4 2 2
Direct
0.250 0.910 0.938
0.750 0.090 0.062
0.250 0.128 0.337
0.750 0.872 0.663
0.750 0.710 0.049
0.250 0.290 0.951
0.250 0.641 0.356
0.750 0.359 0.644
0.750 0.415 0.295
0.250 0.585 0.705
```

Properties
- DOS at the Fermi energy (states/eV per cell) = 7.9
- SG = No. 11
- formation energy (meV per atom) = -348

---

4.
Compound: AcNpInO6
Source: Alexandria via LeMat-Bulk
Functional: PBE
Structure: optimized geometry

Structure (POSCAR):
```
AcNpInO6
1.0
6.005 0.000 0.000
-3.003 5.201 0.000
0.000 0.000 8.821
O Ac Np In
12 2 2 2
Direct
0.303 0.945 0.624
0.055 0.697 0.876
0.697 0.055 0.376
0.055 0.359 0.624
0.641 0.945 0.876
0.641 0.697 0.624
0.303 0.359 0.876
0.359 0.303 0.376
0.697 0.641 0.124
0.945 0.303 0.124
0.359 0.055 0.124
0.945 0.641 0.376
0.667 0.333 0.750
0.333 0.667 0.250
0.333 0.667 0.750
0.667 0.333 0.250
0.000 0.000 0.000
0.000 0.000 0.500
```

Properties
- calculated total energy (eV/atom) = -7.967
- DOS at the Fermi energy (states/eV per cell) = 0.4
- SG = No. 163

---

5.
Compound: Ac2NpIn3Se6
Source: Alexandria via LeMat-Bulk
Functional: PBE
Structure: optimized geometry

Structure (POSCAR):
```
Ac2NpIn3Se6
1.0
-0.918 2.139 -3.773
4.074 -6.775 -4.831
-9.166 -3.662 2.758
Se Ac In Np
6 2 3 1
Direct
0.327 0.432 0.655
0.673 0.568 0.345
0.652 0.089 0.305
0.348 0.911 0.695
0.998 0.786 0.996
0.002 0.214 0.004
0.836 0.671 0.672
0.164 0.329 0.328
0.500 0.500 0.000
0.836 0.162 0.673
0.164 0.838 0.327
0.500 0.000 0.000
```

Properties
- calculated total energy (eV/atom) = -5.340
- DOS at the Fermi energy (states/eV per cell) = 6.4
- SG = No. 12

---

6.
Compound: AcNpIn2Te4
Source: Alexandria via LeMat-Bulk
Functional: PBE
Structure: optimized geometry

Structure (POSCAR):
```
AcNpIn2Te4
1.0
-3.217 2.248 -2.440
3.917 -2.265 -7.253
-3.063 -6.999 -2.409
Te In Np Ac
4 2 1 1
Direct
0.000 0.732 0.742
0.500 0.722 0.275
0.500 0.278 0.725
0.000 0.268 0.258
0.000 0.000 0.000
0.500 0.000 0.500
0.000 0.500 0.500
0.500 0.500 0.000
```

Properties
- calculated total energy (eV/atom) = -5.134
- DOS at the Fermi energy (states/eV per cell) = 7.4
- SG = No. 10

---

7.
Compound: Ac2NpIn3Te6
Source: Alexandria via LeMat-Bulk
Functional: PBE
Structure: optimized geometry

Structure (POSCAR):
```
Ac2NpIn3Te6
1.0
-2.668 -1.227 -7.558
7.428 -2.465 2.121
-4.600 -5.939 4.038
Np Te In Ac
1 6 3 2
Direct
0.000 0.000 0.000
0.924 0.606 0.772
0.394 0.076 0.228
0.241 0.241 0.768
0.606 0.924 0.772
0.076 0.394 0.228
0.759 0.759 0.232
0.832 0.168 0.500
0.168 0.832 0.500
0.500 0.500 0.500
0.666 0.334 0.000
0.334 0.666 0.000
```

Properties
- calculated total energy (eV/atom) = -4.867
- DOS at the Fermi energy (states/eV per cell) = 3.2
- SG = No. 12

---

8.
Compound: AcInO
Source: Alexandria via LeMat-Bulk
Functional: PBE
Structure: optimized geometry

Structure (POSCAR):
```
AcInO
1.0
4.222 0.000 -0.001
0.000 4.222 0.001
0.001 -0.001 8.903
In Ac O
2 2 2
Direct
0.750 0.250 0.075
0.250 0.750 0.925
0.250 0.750 0.357
0.750 0.250 0.643
0.750 0.750 0.500
0.250 0.250 0.500
```

Properties
- excess energy over the best structure of this formula in the dataset (kcal/mol of atoms) = 0.000
- DOS at the Fermi energy (states/eV per cell) = 4.1
- SG = No. 129

---

9.
Compound: Ac6InO12
Source: Alexandria via LeMat-Bulk
Functional: PBE
Structure: optimized geometry

Structure (POSCAR):
```
Ac6InO12
1.0
-7.133 0.107 -0.475
1.130 -6.940 -1.298
0.673 -0.042 7.118
O Ac In
12 6 1
Direct
0.823 0.407 0.555
0.407 0.555 0.823
0.302 0.946 0.061
0.061 0.302 0.946
0.445 0.177 0.593
0.593 0.445 0.177
0.555 0.823 0.407
0.698 0.054 0.939
0.054 0.939 0.698
0.177 0.593 0.445
0.939 0.698 0.054
0.946 0.061 0.302
0.139 0.292 0.603
0.292 0.603 0.139
0.397 0.861 0.708
0.708 0.397 0.861
0.603 0.139 0.292
0.861 0.708 0.397
0.000 0.000 0.000
```

Properties
- calculated total energy (eV/atom) = -7.337
- DOS at the Fermi energy (states/eV per cell) = 18.1
- SG = No. 148

---

10.
Compound: AcIn7O12
Source: Alexandria via LeMat-Bulk
Functional: PBE
Structure: optimized geometry

Structure (POSCAR):
```
AcIn7O12
1.0
7.078 0.000 0.000
-2.359 6.673 0.000
-2.359 -3.337 5.779
O In Ac
12 7 1
Direct
0.305 0.174 0.479
0.131 0.305 0.826
0.174 0.479 0.305
0.695 0.174 0.869
0.826 0.521 0.695
0.174 0.869 0.695
0.521 0.695 0.826
0.826 0.131 0.305
0.305 0.826 0.131
0.869 0.695 0.174
0.695 0.826 0.521
0.479 0.305 0.174
0.500 0.500 0.000
0.000 0.500 0.000
0.500 0.000 0.500
0.500 0.000 0.000
0.000 0.000 0.500
0.500 0.500 0.500
0.000 0.500 0.500
0.000 0.000 0.000
```

Properties
- calculated total energy (eV/atom) = -5.845
- SG = No. 204

---

11.
Compound: Ac12In3O5
Source: Alexandria via LeMat-Bulk
Functional: PBE
Structure: optimized geometry

Structure (POSCAR):
```
Ac12In3O5
1.0
-8.671 -3.819 11.603
-7.381 -2.515 -12.791
12.537 -8.196 0.225
Ac In O
48 12 20
Direct
0.910 0.098 0.609
0.812 0.910 0.302
0.698 0.109 0.010
0.891 0.302 0.490
0.802 0.312 0.910
0.510 0.312 0.902
0.688 0.198 0.590
0.990 0.598 0.188
0.590 0.891 0.402
0.698 0.590 0.188
0.090 0.902 0.391
0.302 0.410 0.812
0.188 0.090 0.698
0.010 0.609 0.698
0.609 0.010 0.198
0.198 0.510 0.609
0.312 0.510 0.402
0.090 0.188 0.198
0.510 0.198 0.109
0.098 0.910 0.109
0.891 0.590 0.902
0.402 0.391 0.590
0.391 0.990 0.802
0.410 0.302 0.312
0.109 0.410 0.098
0.302 0.891 0.990
0.802 0.490 0.391
0.312 0.802 0.410
0.490 0.802 0.891
0.490 0.688 0.098
0.010 0.402 0.812
0.198 0.688 0.090
0.410 0.109 0.598
0.109 0.698 0.510
0.902 0.812 0.510
0.402 0.010 0.312
0.688 0.490 0.598
0.990 0.391 0.302
0.098 0.188 0.490
0.188 0.098 0.990
0.391 0.402 0.090
0.598 0.609 0.410
0.812 0.902 0.010
0.902 0.090 0.891
0.910 0.812 0.802
0.590 0.698 0.688
0.609 0.598 0.910
0.598 0.990 0.688
0.750 0.375 0.125
0.750 0.875 0.625
0.125 0.875 0.750
0.375 0.625 0.250
0.125 0.250 0.875
0.875 0.125 0.250
0.375 0.750 0.625
0.250 0.125 0.375
0.875 0.750 0.125
0.250 0.625 0.875
0.625 0.375 0.750
0.625 0.250 0.375
0.750 0.125 0.875
0.500 0.000 0.500
0.250 0.875 0.125
0.875 0.625 0.750
0.375 0.125 0.750
0.500 0.000 0.000
0.125 0.375 0.250
0.625 0.875 0.250
0.750 0.625 0.375
0.625 0.750 0.875
0.500 0.500 0.500
0.500 0.500 0.000
0.000 0.500 0.500
0.000 0.000 0.000
0.000 0.000 0.500
0.375 0.250 0.125
0.250 0.375 0.625
0.000 0.500 0.000
0.875 0.250 0.625
0.125 0.750 0.375
```

Properties
- calculated total energy (eV/atom) = -5.531
- DOS at the Fermi energy (states/eV per cell) = 79.7
- SG = No. 230

---

12.
Compound: AcInO3
Source: Alexandria via LeMat-Bulk
Functional: PBE
Structure: optimized geometry

Structure (POSCAR):
```
AcInO3
1.0
-3.984 -1.380 -0.086
0.660 -1.668 -3.816
1.215 -3.619 1.792
Ac O In
1 3 1
Direct
0.500 0.500 0.500
0.000 0.500 0.000
0.000 0.000 0.500
0.500 0.000 0.000
0.000 0.000 0.000
```

Properties
- calculated total energy (eV/atom) = -6.652
- DOS at the Fermi energy (states/eV per cell) = 0.0
- SG = No. 221

---

13.
Compound: Ac7In3O2
Source: Alexandria via LeMat-Bulk
Functional: PBE
Structure: optimized geometry

Structure (POSCAR):
```
Ac7In3O2
1.0
-1.932 5.020 0.151
-4.581 -1.713 -1.645
-2.899 -4.422 12.673
Ac O In
7 2 3
Direct
0.903 0.500 0.806
0.797 0.000 0.596
0.203 0.000 0.404
0.397 0.000 0.796
0.000 0.000 0.000
0.097 0.500 0.194
0.603 0.000 0.204
0.101 0.000 0.201
0.899 0.000 0.799
0.696 0.500 0.387
0.304 0.500 0.613
0.500 0.500 0.000
```

Properties
- calculated total energy (eV/atom) = -4.981
- DOS at the Fermi energy (states/eV per cell) = 8.1
- SG = No. 10

---

14.
Compound: Ac2InO4
Source: Alexandria via LeMat-Bulk
Functional: PBE
Structure: optimized geometry

Structure (POSCAR):
```
Ac2InO4
1.0
-3.167 2.783 -0.471
-1.266 -0.767 3.975
6.174 3.870 0.450
O Ac In
4 2 1
Direct
0.823 0.823 0.646
0.177 0.177 0.354
0.000 0.500 0.000
0.500 0.000 0.000
0.646 0.646 0.292
0.354 0.354 0.708
0.000 0.000 0.000
```

Properties
- calculated total energy (eV/atom) = -6.800
- DOS at the Fermi energy (states/eV per cell) = 0.8
- SG = No. 139

---

15.
Compound: Ac4In2O
Source: Alexandria via LeMat-Bulk
Functional: PBE
Structure: optimized geometry

Structure (POSCAR):
```
Ac4In2O
1.0
-2.849 0.277 4.247
-2.552 -4.202 -1.437
8.764 -3.226 3.001
In Ac O
2 4 1
Direct
0.363 0.363 0.727
0.637 0.637 0.273
0.179 0.179 0.357
0.000 0.500 0.000
0.821 0.821 0.643
0.500 0.000 0.000
0.000 0.000 0.000
```

Properties
- calculated total energy (eV/atom) = -4.819
- DOS at the Fermi energy (states/eV per cell) = 3.2
- SG = No. 139

---

Number 1: size of the total moment 0.0 Bohr magnetons per cell. Number 2: size of the total moment 0.0 Bohr magnetons per cell. Number 3: size of the total moment 0.0 Bohr magnetons per cell. Number 4: size of the total moment 2.0 Bohr magnetons per cell. Number 5: size of the total moment 4.0 Bohr magnetons per cell. Number 6: size of the total moment 4.0 Bohr magnetons per cell. Number 7: size of the total moment 4.0 Bohr magnetons per cell. Number 8: size of the total moment 0.0 Bohr magnetons per cell. Number 9: size of the total moment 3.2 Bohr magnetons per cell. Number 10: size of the total moment 0.0 Bohr magnetons per cell. Number 11: size of the total moment 0.0 Bohr magnetons per cell. Number 12: size of the total moment 0.0 Bohr magnetons per cell. Number 13: size of the total moment 0.0 Bohr magnetons per cell. Number 14: size of the total moment 0.0 Bohr magnetons per cell. Number 15: size of the total moment 0.0 Bohr magnetons per cell.